# Rb2SnHg3Bi4 | Alexandria | PBE-GGA | optimized geometry
data_Rb2SnHg3Bi4
_cell_length_a 5.0807
_cell_length_b 5.0807
_cell_length_c 13.8858
_cell_angle_alpha 90.00
_cell_angle_beta 90.00
_cell_angle_gamma 90.00
_space_group_name_H-M_alt 'P 1'
_space_group_IT_number 1
loop_
_space_group_symop_operation_xyz
'x,y,z'
loop_
_atom_site_label
_atom_site_fract_x
_atom_site_fract_y
_atom_site_fract_z
Rb1 0.0000 0.5000 0.2438
Rb2 0.5000 0.0000 0.7562
Sn1 0.0000 0.0000 0.5000
Hg1 0.0000 0.5000 0.8557
Hg2 0.5000 0.0000 0.1443
Hg3 0.5000 0.5000 0.5000
Bi1 0.0000 0.0000 0.0000
Bi2 0.0000 0.5000 0.6312
Bi3 0.5000 0.0000 0.3688
Bi4 0.5000 0.5000 0.0000
# - M_tot: 0.0 μB/f.u.
# - Energy of formation: -0.156 eV/atom